Er2Be2O5, optimized geometry, DFT PBE; symmetry = P4/mmm, No. 123; polymorph energy (0 for the lowest one) = 0.000 eV per atom; V = 9.3 Å³/atom; final energy = -67.61 eV per cell
1.0
3.5491 0.0000 0.0000
0.0000 3.5491 0.0000
0.0000 0.0000 6.6629
Er Be O
2 2 5
Cartesian
0.0000 0.0000 0.0000
0.0000 0.0000 3.3315
1.7745 1.7745 1.5710
1.7745 1.7745 5.0919
0.0000 1.7745 1.8717
0.0000 1.7745 4.7912
1.7745 0.0000 1.8717
1.7745 0.0000 4.7912
1.7745 1.7745 0.0000